Crystalline Ta3Zn2Pd8 at its relaxed geometry. Source: Alexandria, functional PBE.

Output
- Magnetization: 0.054 μB/atom
- Raw total energy: -6.152 eV per atom
- Theoretical density: 11.6 g cm⁻³
- Symmetry: R-3m (166)
- ΔE_f: -0.32 eV/f.u.

POSCAR file:
```
Ta3Zn2Pd8
1.0
-2.2872 1.5057 -4.4100
-5.0907 -0.7594 -0.6742
-4.2148 8.6591 2.0872
Pd Ta Zn
8 3 2
Direct
0.7276 0.2251 0.3198
0.7276 0.7276 0.3198
0.2251 0.7276 0.3198
0.2803 0.2803 0.1592
0.7749 0.2724 0.6802
0.2724 0.2724 0.6802
0.7197 0.7197 0.8408
0.2724 0.7749 0.6802
0.0000 0.0000 0.0000
0.8115 0.8115 0.5655
0.1885 0.1885 0.4345
0.3658 0.3658 0.9026
0.6342 0.6342 0.0974
```

***

Crystalline TaZn4Pd5 at its relaxed geometry. Source: Alexandria, functional PBE.

Output
- Magnetization: 0.000 μB/atom
- Raw total energy: -4.802 eV per atom
- Theoretical density: 10.9 g cm⁻³
- Symmetry: P4/mmm (123)
- ΔE_f: -5.11 eV/f.u.

POSCAR file:
```
TaZn4Pd5
1.0
-0.1107 0.4881 2.8584
1.1351 -2.6249 0.4922
16.1879 6.8969 -0.5511
Pd Zn Ta
5 4 1
Direct
0.5000 0.5000 0.6940
0.5000 0.5000 0.5000
0.5000 0.5000 0.8887
0.5000 0.5000 0.3060
0.5000 0.5000 0.1113
0.0000 0.0000 0.7911
0.0000 0.0000 0.5967
0.0000 0.0000 0.4033
0.0000 0.0000 0.2089
0.0000 0.0000 0.0000
```

***

Crystalline Ta2Zn2Pd at its relaxed geometry. Source: Alexandria, functional PBE.

Output
- Magnetization: 0.000 μB/atom
- Raw total energy: -6.272 eV per atom
- Theoretical density: 12.4 g cm⁻³
- Symmetry: P4/mbm (127)
- ΔE_f: 0.09 eV/f.u.

POSCAR file:
```
Ta2Zn2Pd
1.0
-1.2146 -3.1273 5.5212
5.6389 2.0458 2.3993
-1.7277 3.1292 1.3923
Zn Pd Ta
4 2 4
Direct
0.8667 0.6333 0.0000
0.6333 0.1333 0.0000
0.3667 0.8667 0.0000
0.1333 0.3667 0.0000
0.0000 0.0000 0.0000
0.5000 0.5000 0.0000
0.1669 0.6669 0.5000
0.6669 0.8331 0.5000
0.3331 0.1669 0.5000
0.8331 0.3331 0.5000
```

***

Crystalline TaZnPd4 at its relaxed geometry. Source: Alexandria, functional PBE.

Output
- Magnetization: 0.000 μB/atom
- Raw total energy: -5.831 eV per atom
- Theoretical density: 10.5 g cm⁻³
- Symmetry: C2/m (12)
- ΔE_f: -1.09 eV/f.u.

POSCAR file:
```
TaZnPd4
1.0
6.4006 0.4697 0.0000
-0.4203 5.7289 -0.0108
-2.9893 -3.1102 5.7608
Ta Zn Pd
2 2 8
Direct
0.1138 0.8632 0.7276
0.8862 0.1368 0.2724
0.3659 0.6158 0.2317
0.6341 0.3842 0.7683
0.2682 0.0000 0.5000
0.0005 0.7526 0.0002
0.2695 0.5000 0.5000
0.5003 0.2474 0.9998
0.7318 0.0000 0.5000
0.7305 0.5000 0.5000
0.4997 0.7526 0.0002
0.9995 0.2474 0.9998
```